Compound: Pr4Sm2Dy
Source: Alexandria
Functional: GGA-PBE
Structure: relaxed

Output
polymorph energy (0 for the lowest one)	35.2	kJ/mol of atoms
final energy	-4.311	eV per atom
spin magnetization	0.000	μB/f.u.
volume	35.6	Å³/atom
Fermi-level density of states	11.248	states/eV/cell
formation energy	9.8	kcal/mol of atoms

a b c (Å): 6.073 6.226 7.298
angles (deg): 115.25 90.00 90.00
Atoms (fractional coordinates):
Pr  0.000  0.191  0.381
Pr  0.000  0.809  0.619
Pr  0.500  0.637  0.274
Pr  0.500  0.363  0.726
Dy  0.000  0.500  0.000
Sm  0.500  0.890  0.780
Sm  0.500  0.110  0.220